! TlPbW4 (PBE-GGA, optimized geometry); values from VASP
! symmetry: F-43m
! raw total energy: -8.7211 eV per atom
&SYSTEM
  ibrav = 0, nat = 6, ntyp = 3
/
ATOMIC_SPECIES
Tl 204.38 Tl.upf
Pb 207.20 Pb.upf
W 183.84 W.upf
ATOMIC_POSITIONS crystal
Tl 0.0000 0.0000 0.0000
Pb 0.2500 0.2500 0.2500
W 0.1217 0.6261 0.6261
W 0.6261 0.1217 0.6261
W 0.6261 0.6261 0.1217
W 0.6261 0.6261 0.6261
CELL_PARAMETERS angstrom
0.0000 3.8768 3.8768
3.8768 0.0000 3.8768
3.8768 3.8768 0.0000

! Ho7ErNi2 (PBE-GGA, optimized geometry); values from VASP
! symmetry: Cmmm
! raw total energy: -4.7456 eV per atom
&SYSTEM
  ibrav = 0, nat = 10, ntyp = 3
/
ATOMIC_SPECIES
Ho 164.93 Ho.upf
Er 167.26 Er.upf
Ni 58.69 Ni.upf
ATOMIC_POSITIONS crystal
Ho 0.0000 0.0000 0.0000
Ho 0.1759 0.4444 0.0000
Ho 0.2073 0.7927 0.5000
Ho 0.4444 0.1759 0.0000
Ho 0.5556 0.8241 0.0000
Ho 0.7927 0.2073 0.5000
Ho 0.8241 0.5556 0.0000
Er 0.5000 0.5000 0.5000
Ni 0.2014 0.7986 0.0000
Ni 0.7986 0.2014 0.0000
CELL_PARAMETERS angstrom
4.4102 -6.8613 0.0000
4.4102 6.8613 0.0000
0.0000 0.0000 5.0336

! Ho3HCS (PBE-GGA, optimized geometry); values from VASP
! symmetry: P2_1/m
! raw total energy: -6.0582 eV per atom
&SYSTEM
  ibrav = 0, nat = 12, ntyp = 4
/
ATOMIC_SPECIES
Ho 164.93 Ho.upf
H 1.01 H.upf
C 12.01 C.upf
S 32.06 S.upf
ATOMIC_POSITIONS crystal
Ho 0.0554 0.2500 0.3382
Ho 0.2684 0.2500 0.9745
Ho 0.3756 0.7500 0.6401
Ho 0.6244 0.2500 0.3599
Ho 0.7316 0.7500 0.0255
Ho 0.9446 0.7500 0.6618
H 0.4233 0.7500 0.9237
H 0.5767 0.2500 0.0763
C 0.1681 0.2500 0.6606
C 0.8319 0.7500 0.3394
S 0.3281 0.7500 0.2801
S 0.6719 0.2500 0.7199
CELL_PARAMETERS angstrom
7.6384 0.0000 0.0000
0.0000 3.6262 0.0000
-1.7071 0.0000 7.6920

! Mn2CdFeH (PBE-GGA, optimized geometry); values from VASP
! symmetry: P4mm
! excess energy over the best structure of this formula in the dataset: 0 meV per atom
&SYSTEM
  ibrav = 0, nat = 5, ntyp = 4
/
ATOMIC_SPECIES
Mn 54.94 Mn.upf
Cd 112.41 Cd.upf
Fe 55.84 Fe.upf
H 1.01 H.upf
ATOMIC_POSITIONS crystal
Mn 0.0000 0.0000 0.0000
Mn 0.5000 0.5000 0.2275
Cd 0.5000 0.5000 0.6995
Fe 0.0000 0.0000 0.4288
H 0.5000 0.5000 0.9976
CELL_PARAMETERS angstrom
2.6734 0.0000 0.0000
0.0000 2.6734 0.0000
0.0000 0.0000 7.9123

! ThMgMnRu (PBE-GGA, optimized geometry); values from VASP
! symmetry: F-43m
! raw total energy: -6.8970 eV per atom
&SYSTEM
  ibrav = 0, nat = 4, ntyp = 4
/
ATOMIC_SPECIES
Th 232.04 Th.upf
Mg 24.30 Mg.upf
Mn 54.94 Mn.upf
Ru 101.07 Ru.upf
ATOMIC_POSITIONS crystal
Th 0.0000 0.0000 0.0000
Mg 0.5000 0.5000 0.5000
Mn 0.7500 0.7500 0.7500
Ru 0.2500 0.2500 0.2500
CELL_PARAMETERS angstrom
0.0000 3.3704 3.3704
3.3704 0.0000 3.3704
3.3704 3.3704 0.0000

! Hg3GePb (PBE-GGA, optimized geometry); values from VASP
! symmetry: Pm-3m
! excess energy over the best structure of this formula in the dataset: 387 meV per atom
&SYSTEM
  ibrav = 0, nat = 5, ntyp = 3
/
ATOMIC_SPECIES
Hg 200.59 Hg.upf
Ge 72.64 Ge.upf
Pb 207.20 Pb.upf
ATOMIC_POSITIONS crystal
Hg 0.0000 0.0000 0.5000
Hg 0.0000 0.5000 0.0000
Hg 0.5000 0.0000 0.0000
Ge 0.5000 0.5000 0.5000
Pb 0.0000 0.0000 0.0000
CELL_PARAMETERS angstrom
5.8239 0.0000 0.0000
0.0000 5.8239 0.0000
0.0000 0.0000 5.8239

! KCa2H (PBE-GGA, optimized geometry); values from VASP
! symmetry: R-3m
! excess energy over the best structure of this formula in the dataset: 70 meV per atom
&SYSTEM
  ibrav = 0, nat = 4, ntyp = 3
/
ATOMIC_SPECIES
K 39.10 K.upf
Ca 40.08 Ca.upf
H 1.01 H.upf
ATOMIC_POSITIONS crystal
K 0.0000 0.0000 0.0000
Ca 0.1217 0.1217 0.1217
Ca 0.8783 0.8783 0.8783
H 0.5000 0.5000 0.5000
CELL_PARAMETERS angstrom
1.9252 1.1115 10.5968
-1.9252 1.1115 10.5968
0.0000 -2.2230 10.5968

! RbInGe (PBE-GGA, optimized geometry); values from VASP
! symmetry: P2_1/c
! raw total energy: -2.8047 eV per atom
&SYSTEM
  ibrav = 0, nat = 12, ntyp = 3
/
ATOMIC_SPECIES
Rb 85.47 Rb.upf
In 114.82 In.upf
Ge 72.64 Ge.upf
ATOMIC_POSITIONS crystal
Rb 0.1239 0.0651 0.2003
Rb 0.1239 0.4349 0.7003
Rb 0.8761 0.5651 0.2997
Rb 0.8761 0.9349 0.7997
In 0.2883 0.5437 0.0943
In 0.2883 0.9563 0.5943
In 0.7117 0.0437 0.4057
In 0.7117 0.4563 0.9057
Ge 0.4459 0.6711 0.4228
Ge 0.4459 0.8289 0.9228
Ge 0.5541 0.1711 0.0772
Ge 0.5541 0.3289 0.5772
CELL_PARAMETERS angstrom
6.8300 0.0000 0.0000
0.0000 6.3544 0.0000
-3.3135 0.0000 8.6381

Record order is preserved below.
Total magnetization: 0.000 0.035 0.000 0.506 0.737 0.399 0.016 0.000 μB per atom